La2PrMg4Si4 | GGA-PBE | relaxed

Structure (POSCAR):
```
La2PrMg4Si4
1.0
-2.154 2.223 13.326
2.154 -2.223 13.326
2.154 2.223 -13.326
La Pr Mg Si
2 1 4 4
direct
0.141 0.141 0.000 La
0.859 0.859 0.000 La
0.500 0.000 0.500 Pr
0.250 0.750 0.500 Mg
0.408 0.408 0.000 Mg
0.592 0.592 0.000 Mg
0.750 0.250 0.500 Mg
0.044 0.544 0.500 Si
0.311 0.311 0.000 Si
0.689 0.689 0.000 Si
0.956 0.456 0.500 Si
```

Uncorrected energy = -47.7 eV for the cell shown



LaPrMg2Sn2 | GGA-PBE | relaxed

Structure (POSCAR):
```
LaPrMg2Sn2
1.0
4.550 0.000 0.000
0.000 4.550 0.000
0.000 0.000 16.385
La Pr Mg Sn
2 2 4 4
direct
0.000 0.000 0.000 La
0.500 0.500 0.500 La
0.000 0.000 0.670 Pr
0.500 0.500 0.170 Pr
0.000 0.500 0.334 Mg
0.000 0.500 0.834 Mg
0.500 0.000 0.334 Mg
0.500 0.000 0.834 Mg
0.000 0.000 0.202 Sn
0.000 0.000 0.466 Sn
0.500 0.500 0.702 Sn
0.500 0.500 0.966 Sn
```

Uncorrected energy = -49.0 eV for the cell shown



La3MgPt8 | GGA-PBE | relaxed

Structure (POSCAR):
```
La3MgPt8
1.0
2.745 1.585 8.969
-2.745 1.585 8.969
0.000 -3.170 8.969
La Mg Pt
3 1 8
direct
0.000 0.000 0.000 La
0.128 0.128 0.128 La
0.511 0.511 0.511 La
0.636 0.636 0.636 Mg
0.065 0.567 0.567 Pt
0.068 0.068 0.566 Pt
0.068 0.566 0.068 Pt
0.316 0.316 0.316 Pt
0.566 0.068 0.068 Pt
0.567 0.065 0.567 Pt
0.567 0.567 0.065 Pt
0.817 0.817 0.817 Pt
```

Uncorrected energy = -76.9 eV for the cell shown



LaMg2Pt2 | GGA-PBE | relaxed

Structure (POSCAR):
```
LaMg2Pt2
1.0
4.119 0.000 0.000
0.000 4.119 0.000
0.000 0.000 12.535
La Mg Pt
2 4 4
direct
0.000 0.000 0.000 La
0.500 0.500 0.500 La
0.000 0.500 0.250 Mg
0.000 0.500 0.750 Mg
0.500 0.000 0.250 Mg
0.500 0.000 0.750 Mg
0.000 0.000 0.390 Pt
0.000 0.000 0.610 Pt
0.500 0.500 0.110 Pt
0.500 0.500 0.890 Pt
```

Uncorrected energy = -49.5 eV for the cell shown



LaMg4SiPt2 | GGA-PBE | relaxed

Structure (POSCAR):
```
LaMg4SiPt2
1.0
7.514 0.000 0.000
0.000 4.531 0.000
0.000 0.000 10.082
La Mg Si Pt
2 8 2 4
direct
0.000 0.000 0.000 La
0.000 0.500 0.500 La
0.236 0.000 0.290 Mg
0.236 0.500 0.790 Mg
0.313 0.000 0.599 Mg
0.313 0.500 0.099 Mg
0.687 0.000 0.599 Mg
0.687 0.500 0.099 Mg
0.764 0.000 0.290 Mg
0.764 0.500 0.790 Mg
0.500 0.000 0.865 Si
0.500 0.500 0.365 Si
0.000 0.000 0.716 Pt
0.000 0.500 0.216 Pt
0.500 0.000 0.094 Pt
0.500 0.500 0.594 Pt
```

Uncorrected energy = -65.4 eV for the cell shown



LaMg2SnPt | GGA-PBE | relaxed

Structure (POSCAR):
```
LaMg2SnPt
1.0
4.419 0.000 0.000
0.000 4.419 0.000
0.000 0.000 12.248
La Mg Sn Pt
2 4 2 2
direct
0.000 0.000 0.000 La
0.500 0.500 0.500 La
0.000 0.500 0.261 Mg
0.000 0.500 0.761 Mg
0.500 0.000 0.261 Mg
0.500 0.000 0.761 Mg
0.000 0.000 0.605 Sn
0.500 0.500 0.105 Sn
0.000 0.000 0.386 Pt
0.500 0.500 0.886 Pt
```

Uncorrected energy = -43.3 eV for the cell shown



LaMgTlPt | GGA-PBE | relaxed

Structure (POSCAR):
```
LaMgTlPt
1.0
7.129 0.000 0.000
0.000 7.129 0.000
0.000 0.000 7.129
La Mg Tl Pt
4 4 4 4
direct
0.000 0.000 0.000 La
0.000 0.500 0.500 La
0.500 0.000 0.500 La
0.500 0.500 0.000 La
0.250 0.250 0.750 Mg
0.250 0.750 0.250 Mg
0.750 0.250 0.250 Mg
0.750 0.750 0.750 Mg
0.000 0.000 0.500 Tl
0.000 0.500 0.000 Tl
0.500 0.000 0.000 Tl
0.500 0.500 0.500 Tl
0.250 0.250 0.250 Pt
0.250 0.750 0.750 Pt
0.750 0.250 0.750 Pt
0.750 0.750 0.250 Pt
```

Energy above the most stable polymorph in this dataset = 0.081 eV per atom
Uncorrected energy = -67.2 eV for the cell shown



LaMgTlPt | GGA-PBE | relaxed

Structure (POSCAR):
```
LaMgTlPt
1.0
7.244 0.000 0.000
0.000 7.244 0.000
0.000 0.000 7.244
La Mg Tl Pt
4 4 4 4
direct
0.000 0.000 0.000 La
0.000 0.500 0.500 La
0.500 0.000 0.500 La
0.500 0.500 0.000 La
0.000 0.000 0.500 Mg
0.000 0.500 0.000 Mg
0.500 0.000 0.000 Mg
0.500 0.500 0.500 Mg
0.250 0.250 0.250 Tl
0.250 0.750 0.750 Tl
0.750 0.250 0.750 Tl
0.750 0.750 0.250 Tl
0.250 0.250 0.750 Pt
0.250 0.750 0.250 Pt
0.750 0.250 0.250 Pt
0.750 0.750 0.750 Pt
```

Energy above the most stable polymorph in this dataset = 0.000 eV per atom
Uncorrected energy = -68.5 eV for the cell shown



LaMgTlPt | GGA-PBE | relaxed

Structure (POSCAR):
```
LaMgTlPt
1.0
7.125 0.000 0.000
0.000 7.125 0.000
0.000 0.000 7.125
La Mg Tl Pt
4 4 4 4
direct
0.000 0.000 0.000 La
0.000 0.500 0.500 La
0.500 0.000 0.500 La
0.500 0.500 0.000 La
0.250 0.250 0.250 Mg
0.250 0.750 0.750 Mg
0.750 0.250 0.750 Mg
0.750 0.750 0.250 Mg
0.250 0.250 0.750 Tl
0.250 0.750 0.250 Tl
0.750 0.250 0.250 Tl
0.750 0.750 0.750 Tl
0.000 0.000 0.500 Pt
0.000 0.500 0.000 Pt
0.500 0.000 0.000 Pt
0.500 0.500 0.500 Pt
```

Energy above the most stable polymorph in this dataset = 0.155 eV per atom
Uncorrected energy = -66.0 eV for the cell shown



LaY2Mg3Pt3 | GGA-PBE | relaxed

Structure (POSCAR):
```
LaY2Mg3Pt3
1.0
4.102 0.000 0.000
0.000 6.414 3.758
0.000 -6.414 3.758
La Y Mg Pt
1 2 3 3
direct
0.000 0.000 0.000 La
0.000 0.417 0.826 Y
0.000 0.826 0.417 Y
0.500 0.175 0.422 Mg
0.500 0.422 0.175 Mg
0.500 0.655 0.655 Mg
0.000 0.423 0.423 Pt
0.500 0.086 0.748 Pt
0.500 0.748 0.086 Pt
```

Uncorrected energy = -49.2 eV for the cell shown



La2MgZn3Pt2 | GGA-PBE | relaxed

Structure (POSCAR):
```
La2MgZn3Pt2
1.0
10.152 0.000 0.000
0.000 4.225 0.000
-0.105 0.000 7.898
La Mg Zn Pt
4 2 6 4
direct
0.000 0.000 0.000 La
0.132 0.000 0.522 La
0.500 0.500 0.000 La
0.632 0.500 0.522 La
0.409 0.000 0.313 Mg
0.909 0.500 0.313 Mg
0.213 0.500 0.210 Zn
0.216 0.500 0.815 Zn
0.418 0.000 0.708 Zn
0.713 0.000 0.210 Zn
0.716 0.000 0.815 Zn
0.918 0.500 0.708 Zn
0.284 0.000 0.005 Pt
0.345 0.500 0.516 Pt
0.784 0.500 0.005 Pt
0.845 0.000 0.516 Pt
```

Uncorrected energy = -66.3 eV for the cell shown



LaMgZnPt2 | GGA-PBE | relaxed

Structure (POSCAR):
```
LaMgZnPt2
1.0
4.044 0.000 0.000
0.000 4.044 0.000
0.000 0.000 12.490
La Mg Zn Pt
2 2 2 4
direct
0.000 0.000 0.000 La
0.500 0.500 0.500 La
0.000 0.500 0.750 Mg
0.500 0.000 0.250 Mg
0.000 0.500 0.250 Zn
0.500 0.000 0.750 Zn
0.000 0.000 0.390 Pt
0.000 0.000 0.610 Pt
0.500 0.500 0.110 Pt
0.500 0.500 0.890 Pt
```

Uncorrected energy = -48.7 eV for the cell shown



LaMgReTe | GGA-PBE | relaxed

Structure (POSCAR):
```
LaMgReTe
1.0
7.012 0.000 0.000
0.000 7.012 0.000
0.000 0.000 7.012
La Mg Re Te
4 4 4 4
direct
0.000 0.000 0.000 La
0.000 0.500 0.500 La
0.500 0.000 0.500 La
0.500 0.500 0.000 La
0.250 0.250 0.750 Mg
0.250 0.750 0.250 Mg
0.750 0.250 0.250 Mg
0.750 0.750 0.750 Mg
0.250 0.250 0.250 Re
0.250 0.750 0.750 Re
0.750 0.250 0.750 Re
0.750 0.750 0.250 Re
0.000 0.000 0.500 Te
0.000 0.500 0.000 Te
0.500 0.000 0.000 Te
0.500 0.500 0.500 Te
```

Energy above the most stable polymorph in this dataset = 0.033 eV per atom
Uncorrected energy = -83.5 eV for the cell shown



LaMgReTe | GGA-PBE | relaxed

Structure (POSCAR):
```
LaMgReTe
1.0
7.202 0.000 0.000
0.000 7.202 0.000
0.000 0.000 7.202
La Mg Re Te
4 4 4 4
direct
0.000 0.000 0.000 La
0.000 0.500 0.500 La
0.500 0.000 0.500 La
0.500 0.500 0.000 La
0.000 0.000 0.500 Mg
0.000 0.500 0.000 Mg
0.500 0.000 0.000 Mg
0.500 0.500 0.500 Mg
0.250 0.250 0.750 Re
0.250 0.750 0.250 Re
0.750 0.250 0.250 Re
0.750 0.750 0.750 Re
0.250 0.250 0.250 Te
0.250 0.750 0.750 Te
0.750 0.250 0.750 Te
0.750 0.750 0.250 Te
```

Energy above the most stable polymorph in this dataset = 0.075 eV per atom
Uncorrected energy = -82.9 eV for the cell shown



LaMgReTe | GGA-PBE | relaxed

Structure (POSCAR):
```
LaMgReTe
1.0
7.081 0.000 0.000
0.000 7.081 0.000
0.000 0.000 7.081
La Mg Re Te
4 4 4 4
direct
0.000 0.000 0.000 La
0.000 0.500 0.500 La
0.500 0.000 0.500 La
0.500 0.500 0.000 La
0.250 0.250 0.250 Mg
0.250 0.750 0.750 Mg
0.750 0.250 0.750 Mg
0.750 0.750 0.250 Mg
0.000 0.000 0.500 Re
0.000 0.500 0.000 Re
0.500 0.000 0.000 Re
0.500 0.500 0.500 Re
0.250 0.250 0.750 Te
0.250 0.750 0.250 Te
0.750 0.250 0.250 Te
0.750 0.750 0.750 Te
```

Energy above the most stable polymorph in this dataset = 0.000 eV per atom
Uncorrected energy = -84.1 eV for the cell shown



LaMgReW | GGA-PBE | relaxed

Structure (POSCAR):
```
LaMgReW
1.0
6.727 0.000 0.000
0.000 6.727 0.000
0.000 0.000 6.727
La Mg Re W
4 4 4 4
direct
0.000 0.000 0.000 La
0.000 0.500 0.500 La
0.500 0.000 0.500 La
0.500 0.500 0.000 La
0.000 0.000 0.500 Mg
0.000 0.500 0.000 Mg
0.500 0.000 0.000 Mg
0.500 0.500 0.500 Mg
0.250 0.250 0.750 Re
0.250 0.750 0.250 Re
0.750 0.250 0.250 Re
0.750 0.750 0.750 Re
0.250 0.250 0.250 W
0.250 0.750 0.750 W
0.750 0.250 0.750 W
0.750 0.750 0.250 W
```

Energy above the most stable polymorph in this dataset = 0.354 eV per atom
Uncorrected energy = -112.0 eV for the cell shown



LaMgReW | GGA-PBE | relaxed

Structure (POSCAR):
```
LaMgReW
1.0
6.817 0.000 0.000
0.000 6.817 0.000
0.000 0.000 6.817
La Mg Re W
4 4 4 4
direct
0.000 0.000 0.000 La
0.000 0.500 0.500 La
0.500 0.000 0.500 La
0.500 0.500 0.000 La
0.250 0.250 0.750 Mg
0.250 0.750 0.250 Mg
0.750 0.250 0.250 Mg
0.750 0.750 0.750 Mg
0.250 0.250 0.250 Re
0.250 0.750 0.750 Re
0.750 0.250 0.750 Re
0.750 0.750 0.250 Re
0.000 0.000 0.500 W
0.000 0.500 0.000 W
0.500 0.000 0.000 W
0.500 0.500 0.500 W
```

Energy above the most stable polymorph in this dataset = 0.044 eV per atom
Uncorrected energy = -116.9 eV for the cell shown



LaMgReW | GGA-PBE | relaxed

Structure (POSCAR):
```
LaMgReW
1.0
6.766 0.000 0.000
0.000 6.766 0.000
0.000 0.000 6.766
La Mg Re W
4 4 4 4
direct
0.000 0.000 0.000 La
0.000 0.500 0.500 La
0.500 0.000 0.500 La
0.500 0.500 0.000 La
0.250 0.250 0.250 Mg
0.250 0.750 0.750 Mg
0.750 0.250 0.750 Mg
0.750 0.750 0.250 Mg
0.000 0.000 0.500 Re
0.000 0.500 0.000 Re
0.500 0.000 0.000 Re
0.500 0.500 0.500 Re
0.250 0.250 0.750 W
0.250 0.750 0.250 W
0.750 0.250 0.250 W
0.750 0.750 0.750 W
```

Energy above the most stable polymorph in this dataset = 0.000 eV per atom
Uncorrected energy = -117.6 eV for the cell shown



LaSmMg | GGA-PBE | relaxed

Structure (POSCAR):
```
LaSmMg
1.0
7.627 0.000 0.000
0.000 7.627 0.000
0.000 0.000 7.627
La Sm Mg
4 4 4
direct
0.000 0.000 0.000 La
0.000 0.500 0.500 La
0.500 0.000 0.500 La
0.500 0.500 0.000 La
0.000 0.000 0.500 Sm
0.000 0.500 0.000 Sm
0.500 0.000 0.000 Sm
0.500 0.500 0.500 Sm
0.250 0.250 0.250 Mg
0.250 0.750 0.750 Mg
0.750 0.250 0.750 Mg
0.750 0.750 0.250 Mg
```

Energy above the most stable polymorph in this dataset = 0.000 eV per atom
Uncorrected energy = -40.4 eV for the cell shown



LaSmMg4 | GGA-PBE | relaxed

Structure (POSCAR):
```
LaSmMg4
1.0
3.375 0.000 0.000
0.000 5.316 0.000
0.000 0.000 9.213
La Sm Mg
1 1 4
direct
0.000 0.000 0.000 La
0.000 0.500 0.500 Sm
0.498 0.000 0.663 Mg
0.498 0.500 0.171 Mg
0.502 0.000 0.337 Mg
0.502 0.500 0.829 Mg
```

Energy above the most stable polymorph in this dataset = 0.000 eV per atom
Uncorrected energy = -16.4 eV for the cell shown



La2Sm2Mg | GGA-PBE | relaxed

Structure (POSCAR):
```
La2Sm2Mg
1.0
8.997 0.000 0.000
0.000 8.997 0.000
0.000 0.000 4.155
La Sm Mg
4 4 2
direct
0.161 0.339 0.000 La
0.339 0.839 0.000 La
0.661 0.161 0.000 La
0.839 0.661 0.000 La
0.144 0.644 0.500 Sm
0.356 0.144 0.500 Sm
0.644 0.856 0.500 Sm
0.856 0.356 0.500 Sm
0.000 0.000 0.500 Mg
0.500 0.500 0.500 Mg
```

Uncorrected energy = -40.2 eV for the cell shown



LaSmMg4 | GGA-PBE | relaxed

Structure (POSCAR):
```
LaSmMg4
1.0
5.320 0.000 0.000
0.000 6.752 0.000
0.000 0.000 9.209
La Sm Mg
2 2 8
direct
0.000 0.000 0.000 La
0.500 0.500 0.500 La
0.000 0.500 0.001 Sm
0.500 0.000 0.501 Sm
0.000 0.248 0.334 Mg
0.000 0.248 0.667 Mg
0.000 0.752 0.334 Mg
0.000 0.752 0.667 Mg
0.500 0.252 0.167 Mg
0.500 0.252 0.834 Mg
0.500 0.748 0.167 Mg
0.500 0.748 0.834 Mg
```

Energy above the most stable polymorph in this dataset = 0.002 eV per atom
Uncorrected energy = -32.8 eV for the cell shown



LaTbMg2Sn2 | GGA-PBE | relaxed

Structure (POSCAR):
```
LaTbMg2Sn2
1.0
4.492 0.000 0.000
0.000 4.492 0.000
0.000 0.000 16.216
La Tb Mg Sn
2 2 4 4
direct
0.000 0.000 0.000 La
0.500 0.500 0.500 La
0.000 0.000 0.669 Tb
0.500 0.500 0.169 Tb
0.000 0.500 0.332 Mg
0.000 0.500 0.832 Mg
0.500 0.000 0.332 Mg
0.500 0.000 0.832 Mg
0.000 0.000 0.200 Sn
0.000 0.000 0.466 Sn
0.500 0.500 0.700 Sn
0.500 0.500 0.966 Sn
```

Uncorrected energy = -48.4 eV for the cell shown



La2TbMg3Tl3 | GGA-PBE | relaxed

Structure (POSCAR):
```
La2TbMg3Tl3
1.0
4.780 0.000 0.000
0.000 6.639 3.905
0.000 -6.639 3.905
La Tb Mg Tl
2 1 3 3
direct
0.000 0.214 0.786 La
0.000 0.786 0.214 La
0.000 0.361 0.361 Tb
0.500 0.026 0.026 Mg
0.500 0.542 0.784 Mg
0.500 0.784 0.542 Mg
0.000 0.775 0.775 Tl
0.500 0.125 0.447 Tl
0.500 0.447 0.125 Tl
```

Uncorrected energy = -29.5 eV for the cell shown



LaMgTcW | GGA-PBE | relaxed

Structure (POSCAR):
```
LaMgTcW
1.0
6.825 0.000 0.000
0.000 6.825 0.000
0.000 0.000 6.825
La Mg Tc W
4 4 4 4
direct
0.000 0.000 0.000 La
0.000 0.500 0.500 La
0.500 0.000 0.500 La
0.500 0.500 0.000 La
0.250 0.250 0.750 Mg
0.250 0.750 0.250 Mg
0.750 0.250 0.250 Mg
0.750 0.750 0.750 Mg
0.250 0.250 0.250 Tc
0.250 0.750 0.750 Tc
0.750 0.250 0.750 Tc
0.750 0.750 0.250 Tc
0.000 0.000 0.500 W
0.000 0.500 0.000 W
0.500 0.000 0.000 W
0.500 0.500 0.500 W
```

Energy above the most stable polymorph in this dataset = 0.044 eV per atom
Uncorrected energy = -109.8 eV for the cell shown



LaMgTcW | GGA-PBE | relaxed

Structure (POSCAR):
```
LaMgTcW
1.0
6.719 0.000 0.000
0.000 6.719 0.000
0.000 0.000 6.719
La Mg Tc W
4 4 4 4
direct
0.000 0.000 0.000 La
0.000 0.500 0.500 La
0.500 0.000 0.500 La
0.500 0.500 0.000 La
0.000 0.000 0.500 Mg
0.000 0.500 0.000 Mg
0.500 0.000 0.000 Mg
0.500 0.500 0.500 Mg
0.250 0.250 0.750 Tc
0.250 0.750 0.250 Tc
0.750 0.250 0.250 Tc
0.750 0.750 0.750 Tc
0.250 0.250 0.250 W
0.250 0.750 0.750 W
0.750 0.250 0.750 W
0.750 0.750 0.250 W
```

Energy above the most stable polymorph in this dataset = 0.252 eV per atom
Uncorrected energy = -106.5 eV for the cell shown



LaMgTcW | GGA-PBE | relaxed

Structure (POSCAR):
```
LaMgTcW
1.0
6.772 0.000 0.000
0.000 6.772 0.000
0.000 0.000 6.772
La Mg Tc W
4 4 4 4
direct
0.000 0.000 0.000 La
0.000 0.500 0.500 La
0.500 0.000 0.500 La
0.500 0.500 0.000 La
0.250 0.250 0.250 Mg
0.250 0.750 0.750 Mg
0.750 0.250 0.750 Mg
0.750 0.750 0.250 Mg
0.000 0.000 0.500 Tc
0.000 0.500 0.000 Tc
0.500 0.000 0.000 Tc
0.500 0.500 0.500 Tc
0.250 0.250 0.750 W
0.250 0.750 0.250 W
0.750 0.250 0.250 W
0.750 0.750 0.750 W
```

Energy above the most stable polymorph in this dataset = 0.000 eV per atom
Uncorrected energy = -110.5 eV for the cell shown



LaThMg | GGA-PBE | relaxed

Structure (POSCAR):
```
LaThMg
1.0
7.519 0.000 0.000
0.000 7.519 0.000
0.000 0.000 7.519
La Th Mg
4 4 4
direct
0.000 0.000 0.000 La
0.000 0.500 0.500 La
0.500 0.000 0.500 La
0.500 0.500 0.000 La
0.000 0.000 0.500 Th
0.000 0.500 0.000 Th
0.500 0.000 0.000 Th
0.500 0.500 0.500 Th
0.250 0.250 0.250 Mg
0.250 0.750 0.750 Mg
0.750 0.250 0.750 Mg
0.750 0.750 0.250 Mg
```

Energy above the most stable polymorph in this dataset = 0.000 eV per atom
Uncorrected energy = -49.6 eV for the cell shown